(w)
First-principles (PBE+U) data for crystalline CrFeI2O at its relaxed geometry, as listed in the Alexandria database.

Structure (POSCAR):
```
CrFeI2O
1.0
5.779 0.000 0.000
0.000 5.779 0.000
0.000 0.000 3.697
Cr Fe I O
1 1 2 1
Direct
0.000 0.000 0.000 Cr
0.500 0.500 0.500 Fe
0.000 0.500 0.000 I
0.500 0.000 0.000 I
0.000 0.000 0.500 O
```

Calculated values
**M_tot**: 7.0 μB per cell
**SG**: P4/mmm (123)
**Crystal system**: tetragonal
**DOS(E_F)**: 2.40 states/eV/f.u.

(x)
First-principles (PBE+U) data for crystalline CrFeI2O at its relaxed geometry, as listed in the Alexandria database.

Structure (POSCAR):
```
CrFeI2O
1.0
5.724 0.000 0.000
0.000 5.724 0.000
0.000 0.000 3.699
Cr Fe I O
1 1 2 1
Direct
0.000 0.000 0.000 Cr
0.500 0.500 0.500 Fe
0.000 0.500 0.500 I
0.500 0.000 0.500 I
0.500 0.500 0.000 O
```

Calculated values
**M_tot**: 8.0 μB per cell
**SG**: P4/mmm (123)
**Crystal system**: tetragonal
**DOS(E_F)**: 5.04 states/eV/f.u.

Most stable to least stable, the ends of the list are (x) and (w).

(w)
First-principles (PBE+U) data for crystalline CrFeIO2 at its relaxed geometry, as listed in the Alexandria database.

Structure (POSCAR):
```
CrFeIO2
1.0
3.772 0.000 0.000
0.000 3.772 0.000
0.000 0.000 7.113
Cr Fe I O
1 1 1 2
Direct
0.000 0.000 0.000 Cr
0.500 0.500 0.500 Fe
0.000 0.000 0.500 I
0.000 0.500 0.000 O
0.500 0.000 0.000 O
```

Calculated values
**M_tot**: 5.1 μB per cell
**SG**: P4/mmm (123)
**Crystal system**: tetragonal
**DOS(E_F)**: 4.23 states/eV/f.u.

(x)
First-principles (PBE+U) data for crystalline CrFeIO2 at its relaxed geometry, as listed in the Alexandria database.

Structure (POSCAR):
```
CrFeIO2
1.0
3.890 0.000 0.000
0.000 3.890 0.000
0.000 0.000 6.126
Cr Fe I O
1 1 1 2
Direct
0.000 0.000 0.000 Cr
0.500 0.500 0.500 Fe
0.500 0.500 0.000 I
0.000 0.500 0.500 O
0.500 0.000 0.500 O
```

Calculated values
**M_tot**: 9.7 μB per cell
**SG**: P4/mmm (123)
**Crystal system**: tetragonal
**DOS(E_F)**: 1.12 states/eV/f.u.

Most stable to least stable, the ends of the list are (w) and (x).